Entry 1:
Below is a relaxed structure of Fe2AgMo, with properties calculated at the PBE level.

Results
Magnetization, Bohr magnetons per cell: 5.210
Total energy, Ry per atom: -0.5367
DOS at the Fermi energy, states/eV/cell: 4.2

The structure in CIF format:
```
data_Fe2AgMo
_cell_length_a 2.641
_cell_length_b 2.641
_cell_length_c 8.284
_cell_angle_alpha 90.00
_cell_angle_beta 90.00
_cell_angle_gamma 90.00
_symmetry_space_group_name_H-M 'P 4/m m m'
_symmetry_Int_Tables_number 123
_symmetry_space_group_name_Hall '-P 4 2'
loop_
_atom_site_label
_atom_site_fract_x
_atom_site_fract_y
_atom_site_fract_z
Fe1 0.000 0.000 0.245
Ag1 0.500 0.500 0.500
Mo1 0.500 0.500 0.000
```

Entry 2:
Below is a relaxed structure of Ba2PtCBr, with properties calculated at the PBE level.

Results
Raw formation energy, eV/atom: -0.809
Magnetization, Bohr magnetons per cell: 0.000
DOS at the Fermi energy, states/eV/cell: 2.0

The structure in CIF format:
```
data_Ba2PtCBr
_cell_length_a 5.954
_cell_length_b 5.954
_cell_length_c 3.910
_cell_angle_alpha 90.00
_cell_angle_beta 90.00
_cell_angle_gamma 90.00
_symmetry_space_group_name_H-M 'P 4/m m m'
_symmetry_Int_Tables_number 123
_symmetry_space_group_name_Hall '-P 4 2'
loop_
_atom_site_label
_atom_site_fract_x
_atom_site_fract_y
_atom_site_fract_z
Ba1 0.000 0.500 0.000
Pt1 0.000 0.000 0.500
C1 0.000 0.000 0.000
Br1 0.500 0.500 0.500
```

Entry 3:
Below is a relaxed structure of BeNbRh, with properties calculated at the PBE level.

Results
Magnetization, Bohr magnetons per cell: 0.000
Total energy, Ry per atom: -0.5436
DOS at the Fermi energy, states/eV/cell: 1.9

The structure in CIF format:
```
data_BeNbRh
_cell_length_a 4.1311
_cell_length_b 4.1311
_cell_length_c 2.8176
_cell_angle_alpha 90.00
_cell_angle_beta 90.00
_cell_angle_gamma 120.00
_symmetry_space_group_name_H-M 'P -6 m 2'
_symmetry_Int_Tables_number 187
_symmetry_space_group_name_Hall 'P -6 2'
loop_
_atom_site_label
_atom_site_fract_x
_atom_site_fract_y
_atom_site_fract_z
Be1 0.0000 0.0000 0.0000
Nb1 0.3333 0.6667 0.5000
Rh1 0.6667 0.3333 0.0000
```

Entry 4:
Below is a relaxed structure of PIrCl2, with properties calculated at the PBE level.

Results
Raw formation energy, eV/atom: 0.065
Magnetization, Bohr magnetons per cell: 0.000
DOS at the Fermi energy, states/eV/cell: 2.6

The structure in CIF format:
```
data_PIrCl2
_cell_length_a 4.656
_cell_length_b 13.206
_cell_length_c 3.477
_cell_angle_alpha 90.00
_cell_angle_beta 90.00
_cell_angle_gamma 90.00
_symmetry_space_group_name_H-M 'C m m m'
_symmetry_Int_Tables_number 65
_symmetry_space_group_name_Hall '-C 2 2'
loop_
_atom_site_label
_atom_site_fract_x
_atom_site_fract_y
_atom_site_fract_z
P1 0.000 0.000 0.000
Ir1 0.000 0.500 0.000
Cl1 0.000 0.376 0.500
```